Record 1
# Ce2Y4Ge3O2

A relaxed Ce2Y4Ge3O2 crystal (PBE, the Alexandria database).

For the volume, the calculation gives 23.01 Å³/atom. For the total magnetic moment, the calculation gives 0.25 μB per atom. The energy relative to the elements, uncorrected comes out at -1.53 eV/atom.

a = 12.4902 Å, b = 12.4902 Å, c = 12.4902 Å
α = 158.87°, β = 158.87°, γ = 30.06°
Fractional coordinates of all 11 atoms:
1 Ce 0.1983 0.1983 0.0000
2 Ce 0.8017 0.8017 0.0000
3 Y 0.0799 0.5799 0.5000
4 Y 0.4201 0.9201 0.5000
5 Y 0.5799 0.0799 0.5000
6 Y 0.9201 0.4201 0.5000
7 Ge 0.3286 0.3286 0.0000
8 Ge 0.5000 0.5000 0.0000
9 Ge 0.6714 0.6714 0.0000
10 O 0.0950 0.0950 0.0000
11 O 0.9050 0.9050 0.0000

---

Record 2
# KIr2Pt

A relaxed KIr2Pt crystal (PBE, the Alexandria database).

The value obtained for the formation energy is 422.6 meV/atom. The value obtained for the relative energy among the computed polymorphs is 106 meV/atom. For the volume, the calculation gives 22.59 Å³/atom. For the total magnetic moment, the calculation gives 0.00 μB per atom.

a = 6.1963 Å, b = 6.1963 Å, c = 6.1291 Å
α = 115.40°, β = 115.40°, γ = 25.31°
Fractional coordinates of all 4 atoms:
1 K 0.0000 0.0000 0.0000
2 Ir 0.2016 0.2016 0.6085
3 Ir 0.7984 0.7984 0.3915
4 Pt 0.5000 0.5000 0.5000

---

Record 3
# MgNpRh2O6

A relaxed MgNpRh2O6 crystal (PBE, the Alexandria database).

For the volume, the calculation gives 14.36 Å³/atom. For the total magnetic moment, the calculation gives 0.11 μB per atom. The energy relative to the elements, uncorrected comes out at -1.36 eV/atom.

a = 5.9125 Å, b = 5.9125 Å, c = 4.1086 Å
α = 90.00°, β = 90.00°, γ = 90.00°
Fractional coordinates of all 10 atoms:
1 Mg 0.0000 0.0000 0.0000
2 Np 0.5000 0.5000 0.0305
3 Rh 0.0000 0.5000 0.1504
4 Rh 0.5000 0.0000 0.1504
5 O 0.0000 0.0000 0.5081
6 O 0.2487 0.2487 0.0654
7 O 0.2487 0.7513 0.0654
8 O 0.5000 0.5000 0.5350
9 O 0.7513 0.2487 0.0654
10 O 0.7513 0.7513 0.0654

---

Record 4
# PrDyPu2Te5

A relaxed PrDyPu2Te5 crystal (PBE, the Alexandria database).

For the volume, the calculation gives 40.11 Å³/atom. For the total magnetic moment, the calculation gives 1.33 μB per atom. The energy relative to the elements, uncorrected comes out at -0.71 eV/atom.

a = 5.5222 Å, b = 5.5222 Å, c = 11.8373 Å
α = 90.00°, β = 90.00°, γ = 90.00°
Fractional coordinates of all 9 atoms:
1 Pr 0.0000 0.0000 0.0000
2 Dy 0.0000 0.0000 0.5000
3 Pu 0.5000 0.5000 0.3262
4 Pu 0.5000 0.5000 0.6738
5 Te 0.0000 0.0000 0.2494
6 Te 0.0000 0.0000 0.7506
7 Te 0.0000 0.5000 0.5000
8 Te 0.5000 0.0000 0.5000
9 Te 0.5000 0.5000 0.0000

---

Record 5
# HfReS

A relaxed HfReS crystal (PBE, the Alexandria database).

For the volume, the calculation gives 17.75 Å³/atom. For the total magnetic moment, the calculation gives 0.00 μB per atom. The energy relative to the elements, uncorrected comes out at -0.71 eV/atom.

a = 3.5398 Å, b = 3.5398 Å, c = 8.5017 Å
α = 90.00°, β = 90.00°, γ = 90.00°
Fractional coordinates of all 6 atoms:
1 Hf 0.2500 0.2500 0.2147
2 Hf 0.7500 0.7500 0.7853
3 Re 0.2500 0.7500 0.5000
4 Re 0.7500 0.2500 0.5000
5 S 0.2500 0.2500 0.8854
6 S 0.7500 0.7500 0.1146

---

Record 6
# K2BrF6

A relaxed K2BrF6 crystal (PBE, the Alexandria database).

For the volume, the calculation gives 16.69 Å³/atom. For the total magnetic moment, the calculation gives 0.11 μB per atom. The energy relative to the elements, uncorrected comes out at -1.77 eV/atom.

a = 6.3684 Å, b = 6.3684 Å, c = 4.6437 Å
α = 90.37°, β = 90.37°, γ = 52.90°
Fractional coordinates of all 9 atoms:
1 K 0.1824 0.1824 0.2738
2 K 0.8176 0.8176 0.7262
3 Br 0.5000 0.5000 0.0000
4 F 0.1885 0.6728 0.2268
5 F 0.3084 0.3084 0.7730
6 F 0.3272 0.8115 0.7732
7 F 0.6728 0.1885 0.2268
8 F 0.6916 0.6916 0.2270
9 F 0.8115 0.3272 0.7732

---

Record 7
# Na6Cd3Au

A relaxed Na6Cd3Au crystal (PBE, the Alexandria database).

The value obtained for the formation energy is -118.1 meV/atom. For the volume, the calculation gives 26.33 Å³/atom. For the total magnetic moment, the calculation gives 0.00 μB per atom.

a = 8.8804 Å, b = 5.1435 Å, c = 12.2111 Å
α = 90.00°, β = 109.24°, γ = 90.00°
Fractional coordinates of all 20 atoms:
1 Na 0.0230 0.2500 0.4229
2 Na 0.0493 0.7500 0.8827
3 Na 0.2250 0.2500 0.0166
4 Na 0.3025 0.7500 0.4484
5 Na 0.3532 0.2500 0.2984
6 Na 0.4654 0.7500 0.1012
7 Na 0.5346 0.2500 0.8988
8 Na 0.6468 0.7500 0.7016
9 Na 0.6975 0.2500 0.5516
10 Na 0.7750 0.7500 0.9834
11 Na 0.9507 0.2500 0.1173
12 Na 0.9770 0.7500 0.5771
13 Cd 0.1046 0.2500 0.7361
14 Cd 0.3277 0.7500 0.7690
15 Cd 0.3655 0.2500 0.6237
16 Cd 0.6345 0.7500 0.3763
17 Cd 0.6723 0.2500 0.2310
18 Cd 0.8954 0.7500 0.2639
19 Au 0.1498 0.7500 0.1622
20 Au 0.8502 0.2500 0.8378

---

Record 8
# Hf2CoNiC

A relaxed Hf2CoNiC crystal (PBE, the Alexandria database).

The value obtained for the formation energy is 424.6 meV/atom. For the volume, the calculation gives 16.01 Å³/atom. For the total magnetic moment, the calculation gives 0.00 μB per atom.

a = 4.8150 Å, b = 4.8150 Å, c = 3.4536 Å
α = 90.00°, β = 90.00°, γ = 90.00°
Fractional coordinates of all 5 atoms:
1 Hf 0.0000 0.5000 0.0000
2 Hf 0.5000 0.0000 0.0000
3 Co 0.0000 0.0000 0.0000
4 Ni 0.5000 0.5000 0.5000
5 C 0.0000 0.0000 0.5000